Record 1
## LaCd2HgPt (PBE)

Data for a geometry-optimized LaCd2HgPt structure.

Its energy is -3.02 eV per atom. The formation energy is -0.399 eV per atom. The total magnetization is 0.00 μB per cell.

The space group is P4/mmm (No. 123) and the conventional cell measures 5.290, 5.290 and 5.388 Å, with angles of 90.00, 90.00 and 90.00 degrees. Symmetry generates all atoms from La at (0.000, 0.000, 0.000), Cd at (0.000, 0.500, 0.500), Hg at (0.500, 0.500, 0.000) and Pt at (0.000, 0.000, 0.500).

---

Record 2
## LaPuCdHg (PBE)

Data for a geometry-optimized LaPuCdHg structure.

Its energy is -5.31 eV per atom. The formation energy is -0.196 eV per atom. The total magnetization is 24.79 μB per cell.

The space group is F-43m (No. 216) and the conventional cell measures 7.712, 7.712 and 7.712 Å, with angles of 90.00, 90.00 and 90.00 degrees. Symmetry generates all atoms from La at (0.000, 0.000, 0.000), Pu at (0.000, 0.000, 0.500), Cd at (0.250, 0.250, 0.250) and Hg at (0.250, 0.250, 0.750).

---

Record 3
## LaCdHgRu2 (PBE)

Data for a geometry-optimized LaCdHgRu2 structure.

Its energy is -3.63 eV per atom. The formation energy is 1.307 eV per atom. The total magnetization is 1.28 μB per cell.

The space group is P4/mmm (No. 123) and the conventional cell measures 4.823, 4.823 and 6.222 Å, with angles of 90.00, 90.00 and 90.00 degrees. Symmetry generates all atoms from La at (0.000, 0.000, 0.000), Cd at (0.000, 0.000, 0.500), Hg at (0.500, 0.500, 0.500) and Ru at (0.000, 0.500, 0.000).